# AcSm2HoAs4 (GGA-PBE, optimized geometry)
# density of states at the Fermi level	0.0927	states/eV per atom
# total moment	0.0	Bohr magnetons per cell
# E_form	-1.47	eV/atom
# final energy	-6.0619	eV per atom
data_AcSm2HoAs4
_chemical_formula_sum 'Ac1 Sm2 Ho1 As4'
_cell_length_a 7.406
_cell_length_b 4.279
_cell_length_c 7.411
_cell_angle_alpha 90.00
_cell_angle_beta 109.37
_cell_angle_gamma 90.00
_symmetry_space_group_name_H-M 'P 1 2/m 1'
_symmetry_Int_Tables_number 10
loop_
_symmetry_equiv_pos_as_xyz
'x,y,z'
'-x,-y,-z'
'-x,y,-z'
'x,-y,z'
loop_
_atom_site_label
_atom_site_fract_x
_atom_site_fract_y
_atom_site_fract_z
Ac1 0.000 0.000 0.000
Sm1 0.000 0.500 0.500
Sm2 0.500 0.000 0.500
Ho1 0.500 0.500 0.000
As1 0.260 0.000 0.749
As2 0.264 0.500 0.259

# Si2AsSe (GGA-PBE, optimized geometry)
# energy above the most stable polymorph in this dataset	27.3	kJ per mole of atoms
# density of states at the Fermi level	0.5524	states/eV per atom
# total moment	0.0	Bohr magnetons per cell
# final energy	-4.4763	eV per atom
# energy relative to the elements, uncorrected	268.8	meV per atom
data_Si2AsSe
_chemical_formula_sum 'Si4 As2 Se2'
_cell_length_a 11.336
_cell_length_b 3.705
_cell_length_c 3.833
_cell_angle_alpha 90.00
_cell_angle_beta 109.34
_cell_angle_gamma 90.00
_symmetry_space_group_name_H-M 'C 1 2/m 1'
_symmetry_Int_Tables_number 12
loop_
_symmetry_equiv_pos_as_xyz
'x,y,z'
'-x,-y,-z'
'-x,y,-z'
'x,-y,z'
'x+1/2,y+1/2,z'
'-x+1/2,-y+1/2,-z'
'-x+1/2,y+1/2,-z'
'x+1/2,-y+1/2,z'
loop_
_atom_site_label
_atom_site_fract_x
_atom_site_fract_y
_atom_site_fract_z
Si1 0.245 0.000 0.239
As1 0.000 0.000 0.000
Se1 0.000 0.500 0.500

# CrSi3Os (GGA-PBE, optimized geometry)
# energy above the most stable polymorph in this dataset	0.0	kJ per mole of atoms
# density of states at the Fermi level	0.5677	states/eV per atom
# total moment	4.2	Bohr magnetons per cell
# final energy	-6.6311	eV per atom
# energy relative to the elements, uncorrected	793.3	meV per atom
data_CrSi3Os
_chemical_formula_sum 'Cr1 Si3 Os1'
_cell_length_a 4.647
_cell_length_b 4.647
_cell_length_c 4.647
_cell_angle_alpha 90.00
_cell_angle_beta 90.00
_cell_angle_gamma 90.00
_symmetry_space_group_name_H-M 'P m -3 m'
_symmetry_Int_Tables_number 221
_symmetry_space_group_name_Hall '-P 4 2 3'
loop_
_atom_site_label
_atom_site_fract_x
_atom_site_fract_y
_atom_site_fract_z
Cr1 0.000 0.000 0.000
Si1 0.000 0.500 0.500
Os1 0.500 0.500 0.500

# Pr3TeBr7 (GGA-PBE, optimized geometry)
# density of states at the Fermi level	0.0000	states/eV per atom
# total moment	0.2	Bohr magnetons per cell
# final energy	-4.4327	eV per atom
# energy relative to the elements, uncorrected	-1779.0	meV per atom
data_Pr3TeBr7
_chemical_formula_sum 'Pr3 Te1 Br7'
_cell_length_a 8.8881
_cell_length_b 8.8881
_cell_length_c 7.1559
_cell_angle_alpha 90.00
_cell_angle_beta 90.00
_cell_angle_gamma 120.00
_symmetry_space_group_name_H-M 'P 3 m 1'
_symmetry_Int_Tables_number 156
loop_
_symmetry_equiv_pos_as_xyz
'x,y,z'
'-y,x-y,z'
'-x+y,-x,z'
'-y,-x,z'
'-x+y,y,z'
'x,x-y,z'
loop_
_atom_site_label
_atom_site_fract_x
_atom_site_fract_y
_atom_site_fract_z
Pr1 0.0078 0.5039 0.0000
Te1 0.3333 0.6667 0.2557
Br1 0.1773 0.3546 0.7729
Br2 0.3542 0.1771 0.2105
Br3 0.6667 0.3333 0.7648

# Cd2ReSi (GGA-PBE, optimized geometry)
# density of states at the Fermi level	0.4407	states/eV per atom
# total moment	1.3	Bohr magnetons per cell
# final energy	-4.3285	eV per atom
# energy relative to the elements, uncorrected	596.8	meV per atom
data_Cd2ReSi
_chemical_formula_sum 'Cd4 Re2 Si2'
_cell_length_a 4.064
_cell_length_b 4.064
_cell_length_c 8.305
_cell_angle_alpha 90.00
_cell_angle_beta 90.00
_cell_angle_gamma 90.00
_symmetry_space_group_name_H-M 'I -4 m 2'
_symmetry_Int_Tables_number 119
_symmetry_space_group_name_Hall 'I -4 -2'
loop_
_atom_site_label
_atom_site_fract_x
_atom_site_fract_y
_atom_site_fract_z
Cd1 0.000 0.000 0.000
Cd2 0.000 0.500 0.250
Re1 0.000 0.500 0.750
Si1 0.000 0.000 0.500

# NpZnBi2 (GGA-PBE, optimized geometry)
# energy above the most stable polymorph in this dataset	0.0	kJ per mole of atoms
# density of states at the Fermi level	3.0498	states/eV per atom
# total moment	4.1	Bohr magnetons per cell
# E_form	0.03	eV/atom
# final energy	-5.4654	eV per atom
data_NpZnBi2
_chemical_formula_sum 'Np1 Zn1 Bi2'
_cell_length_a 4.859
_cell_length_b 4.859
_cell_length_c 4.384
_cell_angle_alpha 90.00
_cell_angle_beta 90.00
_cell_angle_gamma 90.00
_symmetry_space_group_name_H-M 'P 4/m m m'
_symmetry_Int_Tables_number 123
_symmetry_space_group_name_Hall '-P 4 2'
loop_
_atom_site_label
_atom_site_fract_x
_atom_site_fract_y
_atom_site_fract_z
Np1 0.000 0.000 0.000
Zn1 0.500 0.500 0.000
Bi1 0.000 0.500 0.500

# LaHo3Ir (GGA-PBE, optimized geometry)
# density of states at the Fermi level	1.4064	states/eV per atom
# total moment	0.0	Bohr magnetons per cell
# E_form	-0.33	eV/atom
# final energy	-5.8311	eV per atom
data_LaHo3Ir
_chemical_formula_sum 'La1 Ho3 Ir1'
_cell_length_a 5.444
_cell_length_b 5.444
_cell_length_c 5.444
_cell_angle_alpha 90.00
_cell_angle_beta 90.00
_cell_angle_gamma 90.00
_symmetry_space_group_name_H-M 'P m -3 m'
_symmetry_Int_Tables_number 221
_symmetry_space_group_name_Hall '-P 4 2 3'
loop_
_atom_site_label
_atom_site_fract_x
_atom_site_fract_y
_atom_site_fract_z
La1 0.000 0.000 0.000
Ho1 0.000 0.500 0.500
Ir1 0.500 0.500 0.500

# K2Hg4F (GGA-PBE, optimized geometry)
# density of states at the Fermi level	0.5250	states/eV per atom
# total moment	0.0	Bohr magnetons per cell
# final energy	-1.2972	eV per atom
# energy relative to the elements, uncorrected	-543.8	meV per atom
data_K2Hg4F
_chemical_formula_sum 'K4 Hg8 F2'
_cell_length_a 5.616
_cell_length_b 5.616
_cell_length_c 16.789
_cell_angle_alpha 90.00
_cell_angle_beta 90.00
_cell_angle_gamma 90.00
_symmetry_space_group_name_H-M 'I 4/m m m'
_symmetry_Int_Tables_number 139
_symmetry_space_group_name_Hall '-I 4 2'
loop_
_atom_site_label
_atom_site_fract_x
_atom_site_fract_y
_atom_site_fract_z
K1 0.000 0.000 0.144
Hg1 0.000 0.000 0.351
Hg2 0.000 0.500 0.000
F1 0.000 0.000 0.500

Copy entry 2 word for word.
# Si2AsSe (GGA-PBE, optimized geometry)
# energy above the most stable polymorph in this dataset	27.3	kJ per mole of atoms
# density of states at the Fermi level	0.5524	states/eV per atom
# total moment	0.0	Bohr magnetons per cell
# final energy	-4.4763	eV per atom
# energy relative to the elements, uncorrected	268.8	meV per atom
data_Si2AsSe
_chemical_formula_sum 'Si4 As2 Se2'
_cell_length_a 11.336
_cell_length_b 3.705
_cell_length_c 3.833
_cell_angle_alpha 90.00
_cell_angle_beta 109.34
_cell_angle_gamma 90.00
_symmetry_space_group_name_H-M 'C 1 2/m 1'
_symmetry_Int_Tables_number 12
loop_
_symmetry_equiv_pos_as_xyz
'x,y,z'
'-x,-y,-z'
'-x,y,-z'
'x,-y,z'
'x+1/2,y+1/2,z'
'-x+1/2,-y+1/2,-z'
'-x+1/2,y+1/2,-z'
'x+1/2,-y+1/2,z'
loop_
_atom_site_label
_atom_site_fract_x
_atom_site_fract_y
_atom_site_fract_z
Si1 0.245 0.000 0.239
As1 0.000 0.000 0.000
Se1 0.000 0.500 0.500

Question: What is the density of states at the Fermi level in the seventh record?
Answer: 1.4064 states/eV per atom

Question: Which value of final energy does entry 2 give?
Answer: -4.4763 eV per atom